Record 1
Crystalline TlPbBr at its relaxed geometry, computed with PBE-GGA.

```
data_TlPbBr
_cell_length_a 3.664
_cell_length_b 5.366
_cell_length_c 9.745
_cell_angle_alpha 90.00
_cell_angle_beta 90.14
_cell_angle_gamma 90.00
_symmetry_space_group_name_H-M 'P 1'
_symmetry_Int_Tables_number 1
loop_
_symmetry_equiv_pos_as_xyz
'x,y,z'
loop_
_atom_site_label
_atom_site_fract_x
_atom_site_fract_y
_atom_site_fract_z
_atom_site_occupancy
Br1 0.385 0.000 0.567 1
Br2 0.380 0.000 0.936 1
Pb1 0.384 0.500 0.761 1
Pb2 0.383 0.000 0.252 1
Tl1 0.883 0.500 0.440 1
Tl2 0.884 0.500 0.084 1
```

Computed properties:
Space group   Pm (6)
D(E_F)   1.5 states/eV per cell
ΔE to the lowest computed polymorph   0.27 eV per formula unit
Total energy   -2.91 eV per atom

Record 2
Crystalline TlPb2Br at its relaxed geometry, computed with PBE-GGA.

```
data_TlPb2Br
_cell_length_a 6.855
_cell_length_b 6.855
_cell_length_c 6.855
_cell_angle_alpha 149.39
_cell_angle_beta 129.68
_cell_angle_gamma 60.06
_symmetry_space_group_name_H-M 'P 1'
_symmetry_Int_Tables_number 1
loop_
_symmetry_equiv_pos_as_xyz
'x,y,z'
loop_
_atom_site_label
_atom_site_fract_x
_atom_site_fract_y
_atom_site_fract_z
_atom_site_occupancy
Tl1 0.250 0.750 0.500 1
Br1 0.750 0.250 0.500 1
Pb1 0.996 0.996 0.000 1
Pb2 0.504 0.504 0.000 1
```

Computed properties:
Space group   Immm (71)
D(E_F)   1.9 states/eV per cell
ΔE to the lowest computed polymorph   0.18 eV per formula unit
Total energy   -3.06 eV per atom

Record 3
Crystalline TlPbBr at its relaxed geometry, computed with PBE-GGA.

```
data_TlPbBr
_cell_length_a 4.206
_cell_length_b 10.444
_cell_length_c 4.786
_cell_angle_alpha 90.00
_cell_angle_beta 90.00
_cell_angle_gamma 90.00
_symmetry_space_group_name_H-M 'P 1'
_symmetry_Int_Tables_number 1
loop_
_symmetry_equiv_pos_as_xyz
'x,y,z'
loop_
_atom_site_label
_atom_site_fract_x
_atom_site_fract_y
_atom_site_fract_z
_atom_site_occupancy
Br1 0.500 0.872 0.500 1
Br2 0.000 0.128 0.000 1
Pb1 0.500 0.553 0.500 1
Pb2 0.000 0.447 0.000 1
Tl1 0.000 0.812 0.000 1
Tl2 0.500 0.188 0.500 1
```

Computed properties:
Space group   Pmmn (59)
D(E_F)   2.4 states/eV per cell
ΔE to the lowest computed polymorph   0.06 eV per formula unit
Total energy   -2.98 eV per atom

Record 4
Crystalline TlPb2Br at its relaxed geometry, computed with PBE-GGA.

```
data_TlPb2Br
_cell_length_a 3.731
_cell_length_b 5.506
_cell_length_c 6.517
_cell_angle_alpha 90.00
_cell_angle_beta 90.00
_cell_angle_gamma 90.00
_symmetry_space_group_name_H-M 'P 1'
_symmetry_Int_Tables_number 1
loop_
_symmetry_equiv_pos_as_xyz
'x,y,z'
loop_
_atom_site_label
_atom_site_fract_x
_atom_site_fract_y
_atom_site_fract_z
_atom_site_occupancy
Br1 0.500 0.500 0.643 1
Pb1 0.500 0.500 0.176 1
Pb2 0.000 0.000 0.089 1
Tl1 0.000 0.000 0.592 1
```

Computed properties:
Space group   Pmm2 (25)
D(E_F)   2.7 states/eV per cell
ΔE to the lowest computed polymorph   0.05 eV per formula unit
Total energy   -3.09 eV per atom

Record 5
Crystalline TlPbBr2 at its relaxed geometry, computed with PBE-GGA.

```
data_TlPbBr2
_cell_length_a 4.349
_cell_length_b 6.258
_cell_length_c 4.707
_cell_angle_alpha 90.00
_cell_angle_beta 90.00
_cell_angle_gamma 90.00
_symmetry_space_group_name_H-M 'P 1'
_symmetry_Int_Tables_number 1
loop_
_symmetry_equiv_pos_as_xyz
'x,y,z'
loop_
_atom_site_label
_atom_site_fract_x
_atom_site_fract_y
_atom_site_fract_z
_atom_site_occupancy
Tl1 0.000 0.500 0.500 1
Br1 0.000 0.000 0.000 1
Br2 0.500 0.500 0.000 1
Pb1 0.500 0.000 0.500 1
```

Computed properties:
Space group   Pmmm (47)
D(E_F)   1.3 states/eV per cell
ΔE to the lowest computed polymorph   0.56 eV per formula unit
Total energy   -2.85 eV per atom

Record 6
Crystalline Tl6PbBr8 at its relaxed geometry, computed with PBE-GGA.

```
data_Tl6PbBr8
_cell_length_a 8.737
_cell_length_b 8.737
_cell_length_c 8.737
_cell_angle_alpha 69.78
_cell_angle_beta 69.78
_cell_angle_gamma 69.78
_symmetry_space_group_name_H-M 'P 1'
_symmetry_Int_Tables_number 1
loop_
_symmetry_equiv_pos_as_xyz
'x,y,z'
loop_
_atom_site_label
_atom_site_fract_x
_atom_site_fract_y
_atom_site_fract_z
_atom_site_occupancy
Br1 0.831 0.335 0.094 1
Br2 0.331 0.331 0.331 1
Br3 0.335 0.094 0.831 1
Br4 0.665 0.906 0.169 1
Br5 0.669 0.669 0.669 1
Br6 0.094 0.831 0.335 1
Br7 0.169 0.665 0.906 1
Br8 0.906 0.169 0.665 1
Tl1 0.946 0.519 0.301 1
Tl2 0.519 0.301 0.946 1
Tl3 0.481 0.699 0.054 1
Tl4 0.301 0.946 0.519 1
Tl5 0.699 0.054 0.481 1
Tl6 0.054 0.481 0.699 1
Pb1 0.000 0.000 0.000 1
```

Computed properties:
Space group   R-3 (148)
D(E_F)   0.0 states/eV per cell
Total energy   -2.95 eV per atom

In order of appearance, raw formation energy = -328 -195 -396 -226 -499 -859 meV/atom.